No. 1
Density functional theory data (PBE) for crystalline Dy2CuSb at its relaxed geometry.

**Size of the total moment**: 0.0 Bohr magnetons per cell
**ΔE_f (raw)**: -0.644 eV/atom
**Energy relative to the lowest polymorph listed for this composition**: 0 kJ/mol of formula units
**Final energy**: -4.999 eV/atom

Lattice parameters (Å, degrees): 6.038 4.147 8.369 90.00 110.73 90.00
Space group P2_1/m (No. 11)
Symmetry-distinct sites (fractional):
Dy 0.189 0.250 0.408 x2
Dy 0.261 0.750 0.055 x2
Cu 0.142 0.250 0.790 x2
Sb 0.374 0.750 0.708 x2

=====

No. 2
Density functional theory data (PBE) for crystalline Nd2Be3Ge4Pd at its relaxed geometry.

**Size of the total moment**: 0.0 Bohr magnetons per cell
**Final energy**: -4.928 eV/atom
**Energy relative to the elements**: -0.491 eV per atom

Lattice parameters (Å, degrees): 4.123 4.123 10.056 90.00 90.00 90.00
Space group P-4m2 (No. 115)
Symmetry-distinct sites (fractional):
Nd 0.000 0.500 0.249 x2
Be 0.000 0.500 0.870 x2
Be 0.500 0.500 0.500 x1
Ge 0.000 0.000 0.000 x1
Ge 0.000 0.500 0.642 x2
Ge 0.500 0.500 0.000 x1
Pd 0.000 0.000 0.500 x1

=====

No. 3
Density functional theory data (PBE) for crystalline CoCu2Te at its relaxed geometry.

**Size of the total moment**: 0.0 Bohr magnetons per cell
**ΔE_f (raw)**: 0.462 eV/atom
**Final energy**: -4.148 eV/atom

Lattice parameters (Å, degrees): 7.184 7.184 4.895 90.00 90.00 90.00
Space group I-42d (No. 122)
Symmetry-distinct sites (fractional):
Co 0.000 0.000 0.000 x4
Cu 0.229 0.750 0.125 x8
Te 0.000 0.000 0.500 x4

=====

No. 4
Density functional theory data (PBE) for crystalline TlBiTe2 at its relaxed geometry.

**Size of the total moment**: 0.0 Bohr magnetons per cell
**ΔE_f (raw)**: -0.313 eV/atom
**Final energy**: -3.445 eV/atom

Lattice parameters (Å, degrees): 4.5807 4.5807 23.8955 90.00 90.00 120.00
Space group R-3m (No. 166, hexagonal axes)
Symmetry-distinct sites (fractional):
Tl 0.0000 0.0000 0.0000 x3
Bi 0.0000 0.0000 0.5000 x3
Te 0.0000 0.0000 0.2407 x6

=====

No. 5
Density functional theory data (PBE) for crystalline BeCdBiIr2 at its relaxed geometry.

**Size of the total moment**: 0.8 Bohr magnetons per cell
**Final energy**: -3.688 eV/atom
**Energy relative to the elements**: 1.561 eV per atom

Lattice parameters (Å, degrees): 5.078 5.078 4.485 90.00 90.00 90.00
Space group P4/mmm (No. 123)
Symmetry-distinct sites (fractional):
Be 0.000 0.000 0.000 x1
Cd 0.500 0.500 0.000 x1
Bi 0.000 0.000 0.500 x1
Ir 0.000 0.500 0.500 x2

=====

No. 6
Density functional theory data (PBE) for crystalline Th4AlHg3 at its relaxed geometry.

**Size of the total moment**: 0.0 Bohr magnetons per cell
**Final energy**: -4.533 eV/atom
**Energy relative to the elements**: -0.242 eV per atom

Lattice parameters (Å, degrees): 3.434 3.434 18.197 90.00 90.00 90.00
Space group P4/mmm (No. 123)
Symmetry-distinct sites (fractional):
Th 0.000 0.000 0.118 x2
Th 0.000 0.000 0.373 x2
Al 0.500 0.500 0.000 x1
Hg 0.500 0.500 0.247 x2
Hg 0.500 0.500 0.500 x1

=====

No. 7
Density functional theory data (PBE) for crystalline TeOsPt at its relaxed geometry.

**Size of the total moment**: 1.2 Bohr magnetons per cell
**ΔE_f (raw)**: 0.854 eV/atom
**Energy relative to the lowest polymorph listed for this composition**: 138 kJ/mol of formula units
**Final energy**: -5.950 eV/atom

Lattice parameters (Å, degrees): 2.970 5.111 14.508 90.00 90.00 90.00
Space group Fmm2 (No. 42)
Symmetry-distinct sites (fractional):
Te 0.000 0.000 0.000 x4
Os 0.000 0.000 0.342 x4
Pt 0.000 0.000 0.687 x4

=====

No. 8
Density functional theory data (PBE) for crystalline La2HoTl at its relaxed geometry.

**Size of the total moment**: 0.8 Bohr magnetons per cell
**Energy relative to the lowest polymorph listed for this composition**: 45 kJ/mol of formula units
**Final energy**: -4.291 eV/atom
**Energy relative to the elements**: -0.092 eV per atom

Lattice parameters (Å, degrees): 3.7184 3.7184 33.7605 90.00 90.00 120.00
Space group R3m (No. 160, hexagonal axes)
Symmetry-distinct sites (fractional):
La 0.0000 0.0000 0.0000 x3
La 0.0000 0.0000 0.1715 x3
Ho 0.0000 0.0000 0.7522 x3
Tl 0.0000 0.0000 0.5858 x3